1.
CdFe2Au: relaxed, GGA-PBE.

Values from the calculation:
Space group: P4/mmm, No. 123
Uncorrected energy (eV per cell): -20.0
Calculated formation energy (kJ/mol of formula units): 106

Unit cell a=2.825 b=2.825 c=7.880 alpha=90.00 beta=90.00 gamma=90.00
Positions (direct):
Cd  0.000  0.000  0.000
Fe  0.500  0.500  0.259
Fe  0.500  0.500  0.741
Au  0.000  0.000  0.500



2.
AlB2O4: relaxed, GGA-PBE.

Values from the calculation:
Space group: I4/mmm, No. 139
Raw formation energy (eV/f.u.): -14.6
Uncorrected energy (eV per cell): -51.6

Unit cell a=4.670 b=4.670 c=4.670 alpha=100.96 beta=100.96 gamma=128.29
Positions (direct):
Al  0.000  0.000  0.000
B  0.250  0.750  0.500
B  0.750  0.250  0.500
O  0.000  0.320  0.320
O  0.000  0.680  0.680
O  0.320  0.000  0.320
O  0.680  0.000  0.680